First-principles (GGA-PBEsol) data for CaBeMo2 after structural relaxation, as listed in Alexandria via LeMat-Bulk.

Cell lengths 5.493, 5.493, 2.627 Å; angles 99.02, 99.02, 121.01 degrees
Fractional positions:
Ca 0.000 0.000 0.000
Be 0.500 0.500 0.000
Mo 0.000 0.500 0.500
Mo 0.500 0.000 0.500

Properties
final energy: -6.6384 eV per atom
density of states at the Fermi level: 3.6 states/eV per cell
calculated formation energy: 0.78 eV/atom
crystal system: monoclinic
space-group type: C2/m, No. 12

First-principles (GGA-PBEsol) data for Ca2BeMo after structural relaxation, as listed in Alexandria via LeMat-Bulk.

Cell lengths 10.103, 10.103, 10.103 Å; angles 17.61, 17.61, 17.61 degrees
Fractional positions:
Ca 0.248 0.248 0.248
Ca 0.752 0.752 0.752
Be 0.500 0.500 0.500
Mo 0.000 0.000 0.000

Properties
final energy: -4.0345 eV per atom
density of states at the Fermi level: 3.1 states/eV per cell
calculated formation energy: 0.97 eV/atom
crystal system: trigonal
space-group type: R-3m, No. 166

First-principles (GGA-PBEsol) data for CaBeMo2 after structural relaxation, as listed in Alexandria via LeMat-Bulk.

Cell lengths 3.319, 4.193, 4.670 Å; angles 90.00, 90.00, 90.00 degrees
Fractional positions:
Ca 0.000 0.000 0.000
Be 0.500 0.500 0.000
Mo 0.000 0.500 0.500
Mo 0.500 0.000 0.500

Properties
final energy: -6.6744 eV per atom
density of states at the Fermi level: 2.8 states/eV per cell
calculated formation energy: 0.74 eV/atom
crystal system: orthorhombic
space-group type: Pmmm, No. 47

First-principles (GGA-PBEsol) data for Ca2BeMo after structural relaxation, as listed in Alexandria via LeMat-Bulk.

Cell lengths 6.188, 6.188, 6.188 Å; angles 101.60, 101.60, 126.73 degrees
Fractional positions:
Ca 0.095 0.125 0.470
Ca 0.375 0.905 0.030
Ca 0.655 0.625 0.530
Ca 0.875 0.345 0.970
Be 0.000 0.000 0.000
Be 0.750 0.250 0.500
Mo 0.250 0.750 0.500
Mo 0.500 0.500 0.000

Properties
final energy: -3.8739 eV per atom
density of states at the Fermi level: 7.3 states/eV per cell
calculated formation energy: 1.13 eV/atom
crystal system: tetragonal
space-group type: I-42d, No. 122

First-principles (GGA-PBEsol) data for CaBeMoS2 after structural relaxation, as listed in Alexandria via LeMat-Bulk.

Cell lengths 4.499, 4.499, 4.157 Å; angles 90.00, 90.00, 90.00 degrees
Fractional positions:
Ca 0.000 0.000 0.000
Be 0.500 0.500 0.500
Mo 0.500 0.500 0.000
S 0.000 0.500 0.500
S 0.500 0.000 0.500

Properties
final energy: -5.1550 eV per atom
formation energy from raw total energies: 0.179 eV per atom
density of states at the Fermi level: 4.0 states/eV per cell
crystal system: tetragonal
space-group type: P4/mmm, No. 123

First-principles (GGA-PBEsol) data for Ca2BeN after structural relaxation, as listed in Alexandria via LeMat-Bulk.

Cell lengths 4.573, 4.573, 4.573 Å; angles 60.00, 60.00, 60.00 degrees
Fractional positions:
Ca 0.250 0.250 0.250
Ca 0.750 0.750 0.750
Be 0.000 0.000 0.000
N 0.500 0.500 0.500

Properties
final energy: -3.8067 eV per atom
formation energy from raw total energies: 0.392 eV per atom
density of states at the Fermi level: 2.8 states/eV per cell
crystal system: cubic
space-group type: Fm-3m, No. 225

First-principles (GGA-PBEsol) data for Na2CaBeN after structural relaxation, as listed in Alexandria via LeMat-Bulk.

Cell lengths 6.085, 6.085, 4.031 Å; angles 90.00, 90.00, 90.00 degrees
Fractional positions:
Na 0.000 0.500 0.000
Na 0.500 0.000 0.000
Ca 0.000 0.000 0.000
Be 0.500 0.500 0.500
N 0.000 0.000 0.500

Properties
final energy: -2.4565 eV per atom
formation energy from raw total energies: 1.035 eV per atom
density of states at the Fermi level: 2.3 states/eV per cell
crystal system: tetragonal
space-group type: P4/mmm, No. 123

First-principles (GGA-PBEsol) data for CaBeNO2 after structural relaxation, as listed in Alexandria via LeMat-Bulk.

Cell lengths 4.233, 4.233, 4.416 Å; angles 90.00, 90.00, 90.00 degrees
Fractional positions:
Ca 0.000 0.000 0.000
Be 0.500 0.500 0.500
N 0.000 0.000 0.500
O 0.000 0.500 0.000
O 0.500 0.000 0.000

Properties
final energy: -4.2245 eV per atom
formation energy from raw total energies: 0.807 eV per atom
density of states at the Fermi level: 2.9 states/eV per cell
crystal system: tetragonal
space-group type: P4/mmm, No. 123

First-principles (GGA-PBEsol) data for Ca2BeRhN after structural relaxation, as listed in Alexandria via LeMat-Bulk.

Cell lengths 4.869, 4.869, 3.762 Å; angles 90.00, 90.00, 90.00 degrees
Fractional positions:
Ca 0.000 0.500 0.000
Ca 0.500 0.000 0.000
Be 0.000 0.000 0.500
Rh 0.500 0.500 0.500
N 0.500 0.500 0.000

Properties
final energy: -5.2858 eV per atom
formation energy from raw total energies: -0.300 eV per atom
density of states at the Fermi level: 1.5 states/eV per cell
crystal system: tetragonal
space-group type: P4/mmm, No. 123

First-principles (GGA-PBEsol) data for NaCa2ZrBe after structural relaxation, as listed in Alexandria via LeMat-Bulk.

Cell lengths 5.378, 5.378, 4.680 Å; angles 90.00, 90.00, 90.00 degrees
Fractional positions:
Na 0.000 0.000 0.000
Ca 0.000 0.500 0.000
Ca 0.500 0.000 0.000
Zr 0.500 0.500 0.500
Be 0.000 0.000 0.500

Properties
final energy: -2.5963 eV per atom
density of states at the Fermi level: 5.2 states/eV per cell
calculated formation energy: 1.15 eV/atom
crystal system: tetragonal
space-group type: P4/mmm, No. 123

First-principles (GGA-PBEsol) data for CaBe3Nb after structural relaxation, as listed in Alexandria via LeMat-Bulk.

Cell lengths 4.256, 4.256, 4.256 Å; angles 90.00, 90.00, 90.00 degrees
Fractional positions:
Ca 0.000 0.000 0.000
Be 0.000 0.000 0.500
Be 0.000 0.500 0.000
Be 0.500 0.000 0.000
Nb 0.500 0.500 0.500

Properties
final energy: -3.0231 eV per atom
density of states at the Fermi level: 2.3 states/eV per cell
calculated formation energy: 1.97 eV/atom
crystal system: cubic
space-group type: Pm-3m, No. 221

First-principles (GGA-PBEsol) data for CaBeNi2 after structural relaxation, as listed in Alexandria via LeMat-Bulk.

Cell lengths 4.253, 4.253, 4.253 Å; angles 60.00, 60.00, 60.00 degrees
Fractional positions:
Ca 0.000 0.000 0.000
Be 0.250 0.250 0.250
Ni 0.500 0.500 0.500
Ni 0.750 0.750 0.750

Properties
final energy: -4.2975 eV per atom
density of states at the Fermi level: 2.7 states/eV per cell
calculated formation energy: 0.31 eV/atom
crystal system: cubic
space-group type: F-43m, No. 216